Entry from the Alexandria database: MoOF2 after structural relaxation (PBE+U).

a b c (Å): 2.7716 2.7716 25.9631
angles (deg): 90.00 90.00 120.00
Element x y z (fractional)
Mo1 0.0000 0.0000 0.0000
Mo2 0.3333 0.6667 0.6667
Mo3 0.6667 0.3333 0.3333
O1 0.0000 0.0000 0.5000
O2 0.3333 0.6667 0.1667
O3 0.6667 0.3333 0.8333
F1 0.0000 0.0000 0.3908
F2 0.0000 0.0000 0.6092
F3 0.3333 0.6667 0.0574
F4 0.3333 0.6667 0.2759
F5 0.6667 0.3333 0.7241
F6 0.6667 0.3333 0.9426

energy above the most stable polymorph in this dataset: 564.0 meV/atom
SG: R-3m
spin magnetization: 0.4 μB/f.u.
volume: 14.39 A^3/atom